<w>
# ScHgCl2 (PBE, relaxed)
# Space-group type: No. 65
# Theoretical density (g cm⁻³): 5.71
# Total magnetization (μB per formula unit): 0.97
data_ScHgCl2
_chemical_formula_sum 'Sc1 Hg1 Cl2'
_space_group_name_H-M_alt 'P 1'
_space_group_IT_number 1
_space_group_name_Hall 'P 1'
_cell_length_a 4.966
_cell_length_b 4.966
_cell_length_c 3.777
_cell_angle_alpha 90.00
_cell_angle_beta 90.00
_cell_angle_gamma 98.50
loop_
_atom_site_label
_atom_site_type_symbol
_atom_site_fract_x
_atom_site_fract_y
_atom_site_fract_z
_atom_site_occupancy
Sc1 Sc 0.000 0.000 0.000 1
Hg1 Hg 0.500 0.500 0.000 1
Cl1 Cl 0.000 0.500 0.500 1
Cl2 Cl 0.500 0.000 0.500 1

***

<x>
# ScHgCl2 (PBE, relaxed)
# Space-group type: No. 38
# Theoretical density (g cm⁻³): 4.31
# Total magnetization (μB per formula unit): 0.00
data_ScHgCl2
_chemical_formula_sum 'Sc1 Hg1 Cl2'
_space_group_name_H-M_alt 'P 1'
_space_group_IT_number 1
_space_group_name_Hall 'P 1'
_cell_length_a 3.932
_cell_length_b 6.712
_cell_length_c 6.712
_cell_angle_alpha 43.47
_cell_angle_beta 90.00
_cell_angle_gamma 90.00
loop_
_atom_site_label
_atom_site_type_symbol
_atom_site_fract_x
_atom_site_fract_y
_atom_site_fract_z
_atom_site_occupancy
Sc1 Sc 0.000 0.000 0.000 1
Hg1 Hg 0.500 0.821 0.821 1
Cl1 Cl 0.000 0.477 0.477 1
Cl2 Cl 0.500 0.122 0.122 1

***

Compare the structures above. Which one is the most stable? <x> is.